1.
Entry from Alexandria via LeMat-Bulk: a crystal of MgPAu2 relaxed with PBEsol (meta-GGA SCAN).

a b c (Å): 5.0225 5.0225 5.0225
angles (deg): 133.04 133.04 68.59
With the nearest neighbours (Å) after each atom.
Fractional positions:
Mg: 0.0000 0.0000 0.0000  8 Au 2.83-2.88, 4 P 2.88
P: 0.7500 0.2500 0.5000  8 Au 2.83-2.88, 4 Mg 2.88
Au: 0.2500 0.7500 0.5000  4 P 2.83, 4 Mg 2.88, 4 Au 2.88
Au: 0.5000 0.5000 0.0000  4 Mg 2.83, 4 P 2.88, 4 Au 2.88

Summary:
D(E_F): 0.389 states/eV per atom
Calculated total energy: -154.21 eV/cell
E_form: -0.13 eV per atom
Symmetry: No. 119
Excess energy over the best structure of this formula in the dataset: 57 meV/atom

=====

2.
Entry from Alexandria via LeMat-Bulk: a crystal of BHPt2 relaxed with PBEsol (meta-GGA SCAN).

a b c (Å): 5.2947 5.2947 5.2947
angles (deg): 127.43 127.43 77.55
With the nearest neighbours (Å) after each atom.
Fractional positions:
B: 0.0000 0.0000 0.0000  4 Pt 2.04
B: 0.7500 0.2500 0.5000  4 Pt 2.04
H: 0.2500 0.7500 0.5000  4 Pt 1.87
H: 0.5000 0.5000 0.0000  4 Pt 1.87
Pt: 0.1558 0.1250 0.5308  2 H 1.87, 2 B 2.04
Pt: 0.3750 0.8442 0.9692  2 H 1.87, 2 B 2.04
Pt: 0.5942 0.6250 0.4692  2 H 1.87, 2 B 2.04
Pt: 0.8750 0.4058 0.0308  2 H 1.87, 2 B 2.04

Summary:
D(E_F): 0.225 states/eV per atom
Calculated total energy: -302.52 eV/cell
Symmetry: No. 122

=====

3.
Entry from Alexandria via LeMat-Bulk: a crystal of TlNi2Se2 relaxed with PBEsol (meta-GGA SCAN).

a b c (Å): 7.0755 7.0755 7.0755
angles (deg): 148.80 148.80 44.71
With the nearest neighbours (Å) after each atom.
Fractional positions:
Tl: 0.0000 0.0000 0.0000  8 Se 3.30
Ni: 0.2500 0.7500 0.5000  4 Se 2.34
Ni: 0.7500 0.2500 0.5000  4 Se 2.34
Se: 0.3541 0.3541 0.0000  4 Ni 2.34
Se: 0.6459 0.6459 0.0000  4 Ni 2.34

Summary:
D(E_F): 0.837 states/eV per atom
Formation energy (no corrections): -246 meV/atom
Calculated total energy: -146.09 eV/cell
Symmetry: No. 139

=====

4.
Entry from Alexandria via LeMat-Bulk: a crystal of Li2ZrCuAu relaxed with PBEsol (meta-GGA SCAN).

a b c (Å): 5.0064 5.0064 4.6843
angles (deg): 90.00 90.00 90.00
With the nearest neighbours (Å) after each atom.
Fractional positions:
Li: 0.0000 0.5000 0.0000  2 Zr 2.50
Li: 0.5000 0.0000 0.0000  2 Zr 2.50
Zr: 0.0000 0.0000 0.0000  2 Cu 2.34, 4 Li 2.50
Cu: 0.0000 0.0000 0.5000  2 Zr 2.34
Au: 0.5000 0.5000 0.5000  8 Li 3.43, 4 Cu 3.54

Summary:
D(E_F): 0.586 states/eV per atom
Calculated total energy: -113.24 eV/cell
E_form: 1.32 eV per atom
Symmetry: No. 123

=====

5.
Entry from Alexandria via LeMat-Bulk: a crystal of Mn2ReSb relaxed with PBEsol (meta-GGA SCAN).

a b c (Å): 2.9237 2.9237 6.4834
angles (deg): 90.00 90.00 90.00
With the nearest neighbours (Å) after each atom.
Fractional positions:
Mn: 0.0000 0.0000 0.2314  4 Re 2.55, 4 Sb 2.70
Mn: 0.0000 0.0000 0.7686  4 Re 2.55, 4 Sb 2.70
Re: 0.5000 0.5000 0.0000  8 Mn 2.55
Sb: 0.5000 0.5000 0.5000  8 Mn 2.70, 4 Sb 2.92

Summary:
D(E_F): 0.876 states/eV per atom
Formation energy (no corrections): 406 meV/atom
Calculated total energy: -143.24 eV/cell
Symmetry: No. 123

=====

6.
Entry from Alexandria via LeMat-Bulk: a crystal of CsPb2I5 relaxed with PBEsol (meta-GGA SCAN).

a b c (Å): 10.0989 10.0989 10.0989
angles (deg): 127.73 127.73 77.06
With the nearest neighbours (Å) after each atom.
Fractional positions:
Cs: 0.2500 0.2500 0.0000  10 I 3.86-3.95
Cs: 0.7500 0.7500 0.0000  10 I 3.86-3.95
Pb: 0.1618 0.6618 0.8235  8 I 3.14-3.49
Pb: 0.3382 0.1618 0.5000  8 I 3.14-3.49
Pb: 0.6618 0.8382 0.5000  8 I 3.14-3.49
Pb: 0.8382 0.3382 0.1765  8 I 3.14-3.49
I: 0.0000 0.0000 0.0000  4 Pb 3.34
I: 0.0192 0.2162 0.5000  3 Pb 3.14-3.49
I: 0.2162 0.7162 0.1970  3 Pb 3.14-3.49
I: 0.2838 0.4808 0.5000  3 Pb 3.14-3.49
I: 0.4808 0.9808 0.1970  3 Pb 3.14-3.49
I: 0.5000 0.5000 0.0000  4 Pb 3.34
I: 0.5192 0.0192 0.8030  3 Pb 3.14-3.49
I: 0.7162 0.5192 0.5000  3 Pb 3.14-3.49
I: 0.7838 0.2838 0.8030  3 Pb 3.14-3.49
I: 0.9808 0.7838 0.5000  3 Pb 3.14-3.49

Summary:
D(E_F): 0.000 states/eV per atom
Formation energy (no corrections): -895 meV/atom
Calculated total energy: -760.48 eV/cell
Symmetry: No. 140

=====

7.
Entry from Alexandria via LeMat-Bulk: a crystal of Cr2FeTc relaxed with PBEsol (meta-GGA SCAN).

a b c (Å): 2.5182 2.5182 7.3734
angles (deg): 90.00 90.00 90.00
With the nearest neighbours (Å) after each atom.
Fractional positions:
Cr: 0.0000 0.0000 0.0000  8 Cr 2.52-2.58, 4 Tc 2.72
Cr: 0.5000 0.5000 0.2528  4 Fe 2.42, 8 Cr 2.52-2.58
Fe: 0.0000 0.0000 0.4743  4 Cr 2.42, 4 Fe 2.52, 4 Tc 2.55
Tc: 0.5000 0.5000 0.7218  4 Tc 2.52, 4 Fe 2.55, 4 Cr 2.72

Summary:
D(E_F): 0.935 states/eV per atom
Calculated total energy: -88.83 eV/cell
E_form: 0.28 eV per atom
Symmetry: No. 99
Excess energy over the best structure of this formula in the dataset: 220 meV/atom

=====

8.
Entry from Alexandria via LeMat-Bulk: a crystal of Zr2TaTl relaxed with PBEsol (meta-GGA SCAN).

a b c (Å): 5.3824 3.0568 5.3943
angles (deg): 90.00 111.73 90.00
With the nearest neighbours (Å) after each atom.
Fractional positions:
Zr: 0.0000 0.0000 0.0000  2 Ta 3.02, 6 Zr 3.06-3.10, 4 Tl 3.09
Zr: 0.0000 0.5000 0.5000  2 Tl 3.02, 6 Zr 3.06-3.10, 4 Ta 3.09
Ta: 0.5000 0.0000 0.5000  6 Zr 3.02-3.09, 2 Ta 3.06, 4 Tl 3.10
Tl: 0.5000 0.5000 0.0000  6 Zr 3.02-3.09, 2 Tl 3.06, 4 Ta 3.10

Summary:
D(E_F): 0.890 states/eV per atom
Calculated total energy: -199.88 eV/cell
E_form: 0.12 eV per atom
Symmetry: No. 10
Excess energy over the best structure of this formula in the dataset: 218 meV/atom

=====

9.
Entry from Alexandria via LeMat-Bulk: a crystal of CrPdOF2 relaxed with PBEsol (meta-GGA SCAN).

a b c (Å): 4.1051 4.1051 3.9472
angles (deg): 90.00 90.00 90.00
With the nearest neighbours (Å) after each atom.
Fractional positions:
Cr: 0.0000 0.0000 0.0000  8 F 2.85, 4 O 2.90
Pd: 0.5000 0.5000 0.5000  2 O 1.97, 4 F 2.05
O: 0.5000 0.5000 0.0000  2 Pd 1.97
F: 0.0000 0.5000 0.5000  2 Pd 2.05
F: 0.5000 0.0000 0.5000  2 Pd 2.05

Summary:
D(E_F): 0.632 states/eV per atom
Formation energy (no corrections): -828 meV/atom
Calculated total energy: -68.61 eV/cell
Symmetry: No. 123

=====

10.
Entry from Alexandria via LeMat-Bulk: a crystal of MnCu2Pt relaxed with PBEsol (meta-GGA SCAN).

a b c (Å): 4.1821 4.1821 4.1821
angles (deg): 60.00 60.00 60.00
With the nearest neighbours (Å) after each atom.
Fractional positions:
Mn: 0.0000 0.0000 0.0000  4 Cu 2.56, 4 Pt 2.56
Cu: 0.5000 0.5000 0.5000  4 Cu 2.56, 4 Pt 2.56
Cu: 0.7500 0.7500 0.7500  4 Mn 2.56, 4 Cu 2.56
Pt: 0.2500 0.2500 0.2500  4 Mn 2.56, 4 Cu 2.56

Summary:
D(E_F): 0.360 states/eV per atom
Calculated total energy: -120.11 eV/cell
E_form: -0.32 eV per atom
Symmetry: No. 216

=====

11.
Entry from Alexandria via LeMat-Bulk: a crystal of LiLaIr3 relaxed with PBEsol (meta-GGA SCAN).

a b c (Å): 4.3104 4.3104 4.3104
angles (deg): 90.00 90.00 90.00
With the nearest neighbours (Å) after each atom.
Fractional positions:
Li: 0.0000 0.0000 0.0000  6 Ir 2.16
La: 0.5000 0.5000 0.5000  12 Ir 3.05
Ir: 0.0000 0.0000 0.5000  2 Li 2.16
Ir: 0.0000 0.5000 0.0000  2 Li 2.16
Ir: 0.5000 0.0000 0.0000  2 Li 2.16

Summary:
D(E_F): 0.471 states/eV per atom
Calculated total energy: -258.35 eV/cell
E_form: 0.09 eV per atom
Symmetry: No. 221

=====

12.
Entry from Alexandria via LeMat-Bulk: a crystal of AlPb7 relaxed with PBEsol (meta-GGA SCAN).

a b c (Å): 6.8597 6.8597 6.8597
angles (deg): 60.00 60.00 60.00
With the nearest neighbours (Å) after each atom.
Fractional positions:
Al: 0.0000 0.0000 0.0000  12 Pb 3.43
Pb: 0.0000 0.0000 0.5000  10 Pb 3.43, 2 Al 3.43
Pb: 0.0000 0.5000 0.0000  10 Pb 3.43, 2 Al 3.43
Pb: 0.0000 0.5000 0.5000  10 Pb 3.43, 2 Al 3.43
Pb: 0.5000 0.0000 0.0000  10 Pb 3.43, 2 Al 3.43
Pb: 0.5000 0.0000 0.5000  10 Pb 3.43, 2 Al 3.43
Pb: 0.5000 0.5000 0.0000  10 Pb 3.43, 2 Al 3.43
Pb: 0.5000 0.5000 0.5000  12 Pb 3.43

Summary:
D(E_F): 0.438 states/eV per atom
Calculated total energy: -537.35 eV/cell
E_form: 0.11 eV per atom
Symmetry: No. 225

=====

13.
Entry from Alexandria via LeMat-Bulk: a crystal of BaMgCd2 relaxed with PBEsol (meta-GGA SCAN).

a b c (Å): 6.5404 6.5404 6.5404
angles (deg): 44.25 44.25 44.25
With the nearest neighbours (Å) after each atom.
Fractional positions:
Ba: 0.0000 0.0000 0.0000  8 Cd 3.55-3.68
Mg: 0.5000 0.5000 0.5000  6 Cd 2.91
Cd: 0.2010 0.2010 0.2010  3 Mg 2.91, 3 Cd 3.09
Cd: 0.7990 0.7990 0.7990  3 Mg 2.91, 3 Cd 3.09

Summary:
D(E_F): 0.707 states/eV per atom
Calculated total energy: -106.57 eV/cell
E_form: -0.31 eV per atom
Symmetry: No. 166

=====

14.
Entry from Alexandria via LeMat-Bulk: a crystal of SrNiH2N relaxed with PBEsol (meta-GGA SCAN).

a b c (Å): 3.6273 3.6273 3.7188
angles (deg): 90.00 90.00 90.00
With the nearest neighbours (Å) after each atom.
Fractional positions:
Sr: 0.0000 0.0000 0.0000  4 N 2.56, 8 H 2.60
Ni: 0.5000 0.5000 0.5000  4 H 1.81, 2 N 1.86
H: 0.0000 0.5000 0.5000  2 Ni 1.81
H: 0.5000 0.0000 0.5000  2 Ni 1.81
N: 0.5000 0.5000 0.0000  2 Ni 1.86

Summary:
D(E_F): 0.345 states/eV per atom
Calculated total energy: -56.37 eV/cell
Symmetry: No. 123